(1)
Below is an optimized crystal structure of CuNiTeI2, with properties calculated at the PBE-GGA level.

Output
E_form (uncorrected)	0.57	eV per atom
energy above the lowest structure with this stoichiometry	0.0	kJ/mol of atoms
crystal system	tetragonal

a = 5.3583 Å, b = 5.3583 Å, c = 4.9581 Å
α = 90.00°, β = 90.00°, γ = 90.00°
Last column: nearest neighbours and their distance in Å.
Atoms (fractional coordinates):
Cu: 0.0000 0.0000 0.0000  8 I 3.65, 4 Te 3.79
Ni: 0.5000 0.5000 0.5000  2 Te 2.48, 4 I 2.68
Te: 0.5000 0.5000 0.0000  2 Ni 2.48
I: 0.0000 0.5000 0.5000  2 Ni 2.68
I: 0.5000 0.0000 0.5000  2 Ni 2.68

(2)
Below is an optimized crystal structure of K2GaRhO, with properties calculated at the PBE-GGA level.

Output
E_form (uncorrected)	0.25	eV per atom
crystal system	tetragonal

a = 6.4852 Å, b = 6.4852 Å, c = 3.7040 Å
α = 90.00°, β = 90.00°, γ = 90.00°
Last column: nearest neighbours and their distance in Å.
Atoms (fractional coordinates):
K: 0.0000 0.5000 0.0000  2 Ga 3.24
K: 0.5000 0.0000 0.0000  2 Ga 3.24
Ga: 0.0000 0.0000 0.0000  2 O 1.85
Rh: 0.5000 0.5000 0.5000  2 Rh 3.70, 8 K 3.73
O: 0.0000 0.0000 0.5000  2 Ga 1.85

(3)
Below is an optimized crystal structure of Mg2Hg2P, with properties calculated at the PBE-GGA level.

Output
ΔE_f	-0.10	eV per atom
crystal system	tetragonal

a = 6.8930 Å, b = 6.8930 Å, c = 4.7948 Å
α = 90.00°, β = 90.00°, γ = 90.00°
Last column: nearest neighbours and their distance in Å.
Atoms (fractional coordinates):
Mg: 0.1680 0.3320 0.0000  2 P 2.56
Mg: 0.3320 0.8320 0.0000  2 P 2.56
Mg: 0.6680 0.1680 0.0000  2 P 2.56
Mg: 0.8320 0.6680 0.0000  2 P 2.56
Hg: 0.1550 0.6550 0.5000  6 Mg 2.95-3.27, 1 Hg 3.02
Hg: 0.3450 0.1550 0.5000  6 Mg 2.95-3.27, 1 Hg 3.02
Hg: 0.6550 0.8450 0.5000  6 Mg 2.95-3.27, 1 Hg 3.02
Hg: 0.8450 0.3450 0.5000  6 Mg 2.95-3.27, 1 Hg 3.02
P: 0.0000 0.0000 0.0000  4 Mg 2.56
P: 0.5000 0.5000 0.0000  4 Mg 2.56

Quick rundown of calculated volume, same order as above: 28.47, 31.16, 22.78 Å³ per atom